No. 1
Density functional theory data (PBEsol) for a geometry-optimized NaCd3P structure.

Cell: 5.1691 5.1691 5.1691 Å, 90.00 90.00 90.00°
Fractional positions:
P 0.0000 0.0000 0.0000
Cd 0.0000 0.5000 0.0000
Na 0.5000 0.5000 0.5000
Cd 0.0000 0.0000 0.5000
Cd 0.5000 0.0000 0.0000

## Properties
Final energy, Ry/atom: -0.1378
V, Å³/f.u.: 138.12
Crystal system: cubic
Total magnetic moment, μB per formula unit: 0.00

No. 2
Density functional theory data (PBEsol) for a geometry-optimized NaCdSi2P structure.

Cell: 4.8735 4.8735 4.9331 Å, 90.00 90.00 90.00°
Fractional positions:
P 0.5000 0.5000 0.5000
Na 0.0000 0.0000 0.0000
Cd 0.0000 0.0000 0.5000
Si 0.0000 0.5000 0.0000
Si 0.5000 0.0000 0.0000

## Properties
V, Å³/f.u.: 117.17
Crystal system: tetragonal
Formation energy from raw total energies, eV per atom: 1.539
Total magnetic moment, μB per formula unit: 0.00

No. 3
Density functional theory data (PBEsol) for a geometry-optimized NaScCdPb2 structure.

Cell: 5.3811 5.5850 5.5850 Å, 90.00 90.00 90.00°
Fractional positions:
Na 0.5000 0.5000 0.5000
Sc 0.5000 0.0000 0.0000
Cd 0.0000 0.0000 0.0000
Pb 0.0000 0.5000 0.0000
Pb 0.0000 0.0000 0.5000

## Properties
Final energy, Ry/atom: -0.2211
V, Å³/f.u.: 167.85
Crystal system: tetragonal
Total magnetic moment, μB per formula unit: 0.00